Run 1
A relaxed structure of Sr2ZnH. Source: the Alexandria database, functional PBE-GGA.

a b c (Å): 5.378 5.378 5.378
angles (deg): 60.00 60.00 60.00
Atoms (fractional coordinates):
Sr: 0.250 0.250 0.250
Sr: 0.750 0.750 0.750
Zn: 0.000 0.000 0.000
H: 0.500 0.500 0.500

Values from the calculation:
* density: 3.65 g/cm³
* N(E_F): 5.73 states/eV/cell
* total moment: 0.000 μB/atom

Run 2
A relaxed structure of Sr2ZnH. Source: the Alexandria database, functional PBE-GGA.

a b c (Å): 7.883 7.883 7.883
angles (deg): 30.50 30.50 30.50
Atoms (fractional coordinates):
Sr: 0.237 0.237 0.237
Sr: 0.763 0.763 0.763
Zn: 0.000 0.000 0.000
H: 0.500 0.500 0.500

Values from the calculation:
* density: 3.59 g/cm³
* N(E_F): 3.22 states/eV/cell
* total moment: 0.000 μB/atom

Run 3
A relaxed structure of Sr2ZnH. Source: the Alexandria database, functional PBE-GGA.

a b c (Å): 8.089 8.089 8.089
angles (deg): 29.16 29.16 29.16
Atoms (fractional coordinates):
Sr: 0.000 0.000 0.000
Sr: 0.193 0.193 0.193
Zn: 0.429 0.429 0.429
H: 0.599 0.599 0.599

Values from the calculation:
* density: 3.61 g/cm³
* N(E_F): 3.14 states/eV/cell
* total moment: 0.001 μB/atom

Run 4
A relaxed structure of Sr2ZnH. Source: the Alexandria database, functional PBE-GGA.

a b c (Å): 6.724 6.724 6.724
angles (deg): 113.57 113.57 101.55
Atoms (fractional coordinates):
Sr: 0.045 0.625 0.920
Sr: 0.375 0.295 0.420
Sr: 0.705 0.125 0.080
Sr: 0.875 0.955 0.580
Zn: 0.250 0.750 0.500
Zn: 0.500 0.500 0.000
H: 0.000 0.000 0.000
H: 0.750 0.250 0.500

Values from the calculation:
* density: 3.48 g/cm³
* N(E_F): 5.72 states/eV/cell
* total moment: 0.000 μB/atom

Most stable structure: run 4